Record 1
# TcAg2As, relaxed, DFT PBE
data_TcAg2As
_chemical_formula_sum 'Tc4 Ag8 As4'
_symmetry_space_group_name_H-M 'I -4 2 d'
_symmetry_Int_Tables_number 122
_symmetry_space_group_name_Hall 'I -4 2bw'
_cell_length_a 7.588
_cell_length_b 7.588
_cell_length_c 5.081
_cell_angle_alpha 90.00
_cell_angle_beta 90.00
_cell_angle_gamma 90.00
loop_
_atom_site_label
_atom_site_type_symbol
_atom_site_fract_x
_atom_site_fract_y
_atom_site_fract_z
Tc1 Tc 0.000 0.000 0.000
Ag1 Ag 0.228 0.250 0.625
As1 As 0.000 0.000 0.500
# calculated total energy = -4.582 eV per atom
# crystal system = tetragonal
# magnetization = 0.321 μB per atom

***

Record 2
# BaNiRh2, relaxed, DFT PBE
data_BaNiRh2
_chemical_formula_sum 'Ba1 Ni1 Rh2'
_symmetry_space_group_name_H-M 'P 1 2/m 1'
_symmetry_Int_Tables_number 10
_cell_length_a 3.102
_cell_length_b 4.330
_cell_length_c 6.066
_cell_angle_alpha 90.00
_cell_angle_beta 101.58
_cell_angle_gamma 90.00
loop_
_symmetry_equiv_pos_as_xyz
'x,y,z'
'-x,-y,-z'
'-x,y,-z'
'x,-y,z'
loop_
_atom_site_label
_atom_site_type_symbol
_atom_site_fract_x
_atom_site_fract_y
_atom_site_fract_z
Ba1 Ba 0.000 0.000 0.000
Ni1 Ni 0.500 0.000 0.500
Rh1 Rh 0.310 0.500 0.674
# calculated total energy = -5.219 eV per atom
# crystal system = monoclinic
# magnetization = 0.203 μB per atom

***

Record 3
# ZrAl3V8, relaxed, DFT PBE
data_ZrAl3V8
_chemical_formula_sum 'Zr1 Al3 V8'
_symmetry_space_group_name_H-M 'P 3 m 1'
_symmetry_Int_Tables_number 156
_cell_length_a 5.0559
_cell_length_b 5.0559
_cell_length_c 8.2050
_cell_angle_alpha 90.00
_cell_angle_beta 90.00
_cell_angle_gamma 120.00
loop_
_symmetry_equiv_pos_as_xyz
'x,y,z'
'-y,x-y,z'
'-x+y,-x,z'
'-y,-x,z'
'-x+y,y,z'
'x,x-y,z'
loop_
_atom_site_label
_atom_site_type_symbol
_atom_site_fract_x
_atom_site_fract_y
_atom_site_fract_z
Zr1 Zr 0.0000 0.0000 0.0000
Al1 Al 0.0000 0.0000 0.3736
Al2 Al 0.6667 0.3333 0.5005
Al3 Al 0.6667 0.3333 0.8771
V1 V 0.1650 0.3300 0.6776
V2 V 0.3333 0.6667 0.4418
V3 V 0.3333 0.6667 0.9400
V4 V 0.5006 0.0012 0.1933
# calculated total energy = -7.693 eV per atom
# crystal system = trigonal
# magnetization = 0.000 μB per atom

***

Record 4
# La2Te3, relaxed, DFT PBE
data_La2Te3
_chemical_formula_sum 'La8 Te12'
_symmetry_space_group_name_H-M 'P n m a'
_symmetry_Int_Tables_number 62
_cell_length_a 12.516
_cell_length_b 4.543
_cell_length_c 12.132
_cell_angle_alpha 90.00
_cell_angle_beta 90.00
_cell_angle_gamma 90.00
loop_
_symmetry_equiv_pos_as_xyz
'x,y,z'
'-x,-y,-z'
'-x+1/2,-y,z+1/2'
'x+1/2,y,-z+1/2'
'x+1/2,-y+1/2,-z+1/2'
'-x+1/2,y+1/2,z+1/2'
'-x,y+1/2,-z'
'x,-y+1/2,z'
loop_
_atom_site_label
_atom_site_type_symbol
_atom_site_fract_x
_atom_site_fract_y
_atom_site_fract_z
La1 La 0.012 0.250 0.187
La2 La 0.194 0.250 0.502
Te1 Te 0.045 0.750 0.375
Te2 Te 0.122 0.250 0.943
Te3 Te 0.228 0.750 0.701
# calculated total energy = -5.470 eV per atom
# raw formation energy = -1614 meV/atom
# crystal system = orthorhombic
# magnetization = 0.000 μB per atom

***

Record 5
# Sc12Ga6Os, relaxed, DFT PBE
data_Sc12Ga6Os
_chemical_formula_sum 'Sc36 Ga18 Os3'
_symmetry_space_group_name_H-M 'R -3'
_symmetry_Int_Tables_number 148
_symmetry_space_group_name_Hall '-R 3'
_cell_length_a 12.0031
_cell_length_b 12.0031
_cell_length_c 11.1348
_cell_angle_alpha 90.00
_cell_angle_beta 90.00
_cell_angle_gamma 120.00
loop_
_atom_site_label
_atom_site_type_symbol
_atom_site_fract_x
_atom_site_fract_y
_atom_site_fract_z
Sc1 Sc 0.0360 0.2096 0.3922
Sc2 Sc 0.0481 0.2026 0.8829
Ga1 Ga 0.0499 0.2695 0.6456
Os1 Os 0.0000 0.0000 0.0000
# calculated total energy = -5.728 eV per atom
# crystal system = trigonal
# magnetization = 0.000 μB per atom

***

Record 6
# AlSb2Pd2, relaxed, DFT PBE
data_AlSb2Pd2
_chemical_formula_sum 'Al2 Sb4 Pd4'
_symmetry_space_group_name_H-M 'P 4/m b m'
_symmetry_Int_Tables_number 127
_symmetry_space_group_name_Hall '-P 4 2ab'
_cell_length_a 6.866
_cell_length_b 6.866
_cell_length_c 4.280
_cell_angle_alpha 90.00
_cell_angle_beta 90.00
_cell_angle_gamma 90.00
loop_
_atom_site_label
_atom_site_type_symbol
_atom_site_fract_x
_atom_site_fract_y
_atom_site_fract_z
Al1 Al 0.000 0.000 0.000
Sb1 Sb 0.166 0.334 0.500
Pd1 Pd 0.148 0.648 0.000
# calculated total energy = -4.708 eV per atom
# raw formation energy = -233 meV/atom
# energy above the lowest structure with this stoichiometry = 0 meV per atom
# crystal system = tetragonal
# magnetization = 0.000 μB per atom

***

Record 7
# Cu2OsCl8, relaxed, DFT PBE
data_Cu2OsCl8
_chemical_formula_sum 'Cu4 Os2 Cl16'
_symmetry_space_group_name_H-M 'C 1 2/m 1'
_symmetry_Int_Tables_number 12
_cell_length_a 9.261
_cell_length_b 10.980
_cell_length_c 6.044
_cell_angle_alpha 90.00
_cell_angle_beta 104.00
_cell_angle_gamma 90.00
loop_
_symmetry_equiv_pos_as_xyz
'x,y,z'
'-x,-y,-z'
'-x,y,-z'
'x,-y,z'
'x+1/2,y+1/2,z'
'-x+1/2,-y+1/2,-z'
'-x+1/2,y+1/2,-z'
'x+1/2,-y+1/2,z'
loop_
_atom_site_label
_atom_site_type_symbol
_atom_site_fract_x
_atom_site_fract_y
_atom_site_fract_z
Cu1 Cu 0.181 0.000 0.028
Os1 Os 0.000 0.500 0.500
Cl1 Cl 0.022 0.000 0.263
Cl2 Cl 0.142 0.353 0.736
Cl3 Cl 0.173 0.500 0.275
# calculated total energy = -3.498 eV per atom
# raw formation energy = -390 meV/atom
# crystal system = monoclinic
# magnetization = 0.212 μB per atom

***

Record 8
# Tb2Dy9Er, relaxed, DFT PBE
data_Tb2Dy9Er
_chemical_formula_sum 'Tb2 Dy9 Er1'
_symmetry_space_group_name_H-M 'P 4/m m m'
_symmetry_Int_Tables_number 123
_symmetry_space_group_name_Hall '-P 4 2'
_cell_length_a 5.000
_cell_length_b 5.000
_cell_length_c 14.998
_cell_angle_alpha 90.00
_cell_angle_beta 90.00
_cell_angle_gamma 90.00
loop_
_atom_site_label
_atom_site_type_symbol
_atom_site_fract_x
_atom_site_fract_y
_atom_site_fract_z
Tb1 Tb 0.000 0.000 0.167
Dy1 Dy 0.000 0.500 0.000
Dy2 Dy 0.000 0.500 0.334
Dy3 Dy 0.500 0.500 0.167
Dy4 Dy 0.500 0.500 0.500
Er1 Er 0.000 0.000 0.500
# calculated total energy = -4.583 eV per atom
# energy above the lowest structure with this stoichiometry = 0 meV per atom
# crystal system = tetragonal
# magnetization = 0.000 μB per atom

***

Record 9
# La4Pm11Ho9, relaxed, DFT PBE
data_La4Pm11Ho9
_chemical_formula_sum 'La8 Pm22 Ho18'
_symmetry_space_group_name_H-M 'C m m m'
_symmetry_Int_Tables_number 65
_symmetry_space_group_name_Hall '-C 2 2'
_cell_length_a 20.830
_cell_length_b 21.571
_cell_length_c 3.587
_cell_angle_alpha 90.00
_cell_angle_beta 90.00
_cell_angle_gamma 90.00
loop_
_atom_site_label
_atom_site_type_symbol
_atom_site_fract_x
_atom_site_fract_y
_atom_site_fract_z
La1 La 0.134 0.085 0.000
Pm1 Pm 0.000 0.160 0.500
Pm2 Pm 0.000 0.331 0.500
Pm3 Pm 0.000 0.500 0.500
Pm4 Pm 0.239 0.500 0.500
Pm5 Pm 0.246 0.332 0.500
Ho1 Ho 0.000 0.000 0.000
Ho2 Ho 0.120 0.415 0.000
Ho3 Ho 0.124 0.249 0.000
# calculated total energy = -4.661 eV per atom
# crystal system = orthorhombic
# magnetization = 0.000 μB per atom

***

Record 10
# RbNpO3, relaxed, DFT PBE
data_RbNpO3
_chemical_formula_sum 'Rb4 Np4 O12'
_symmetry_space_group_name_H-M 'C 1 2/m 1'
_symmetry_Int_Tables_number 12
_cell_length_a 12.852
_cell_length_b 8.482
_cell_length_c 3.436
_cell_angle_alpha 90.00
_cell_angle_beta 104.36
_cell_angle_gamma 90.00
loop_
_symmetry_equiv_pos_as_xyz
'x,y,z'
'-x,-y,-z'
'-x,y,-z'
'x,-y,z'
'x+1/2,y+1/2,z'
'-x+1/2,-y+1/2,-z'
'-x+1/2,y+1/2,-z'
'x+1/2,-y+1/2,z'
loop_
_atom_site_label
_atom_site_type_symbol
_atom_site_fract_x
_atom_site_fract_y
_atom_site_fract_z
Rb1 Rb 0.247 0.000 0.266
Np1 Np 0.000 0.249 0.000
O1 O 0.000 0.000 0.000
O2 O 0.000 0.500 0.000
O3 O 0.107 0.244 0.602
# calculated total energy = -8.328 eV per atom
# raw formation energy = -2572 meV/atom
# crystal system = monoclinic
# magnetization = 0.400 μB per atom

***

Record 11
# NdBr4N2, relaxed, DFT PBE
data_NdBr4N2
_chemical_formula_sum 'Nd3 Br12 N6'
_symmetry_space_group_name_H-M 'R -3 m'
_symmetry_Int_Tables_number 166
_symmetry_space_group_name_Hall '-R 3 2"'
_cell_length_a 5.1025
_cell_length_b 5.1025
_cell_length_c 30.8978
_cell_angle_alpha 90.00
_cell_angle_beta 90.00
_cell_angle_gamma 120.00
loop_
_atom_site_label
_atom_site_type_symbol
_atom_site_fract_x
_atom_site_fract_y
_atom_site_fract_z
Nd1 Nd 0.0000 0.0000 0.0000
Br1 Br 0.0000 0.0000 0.0971
Br2 Br 0.0000 0.0000 0.3078
N1 N 0.0000 0.0000 0.2154
# calculated total energy = -3.439 eV per atom
# raw formation energy = 577 meV/atom
# crystal system = trigonal
# magnetization = 0.714 μB per atom

***

Record 12
# KNi2Pb, relaxed, DFT PBE
data_KNi2Pb
_chemical_formula_sum 'K4 Ni8 Pb4'
_symmetry_space_group_name_H-M 'F -4 3 m'
_symmetry_Int_Tables_number 216
_symmetry_space_group_name_Hall 'F -4 2 3'
_cell_length_a 6.882
_cell_length_b 6.882
_cell_length_c 6.882
_cell_angle_alpha 90.00
_cell_angle_beta 90.00
_cell_angle_gamma 90.00
loop_
_atom_site_label
_atom_site_type_symbol
_atom_site_fract_x
_atom_site_fract_y
_atom_site_fract_z
K1 K 0.000 0.000 0.000
Ni1 Ni 0.000 0.000 0.500
Ni2 Ni 0.250 0.250 0.750
Pb1 Pb 0.250 0.250 0.250
# calculated total energy = -3.311 eV per atom
# crystal system = cubic
# magnetization = 0.040 μB per atom

***

Record 13
# Sr4CdPt2, relaxed, DFT PBE
data_Sr4CdPt2
_chemical_formula_sum 'Sr12 Cd3 Pt6'
_symmetry_space_group_name_H-M 'R -3 m'
_symmetry_Int_Tables_number 166
_symmetry_space_group_name_Hall '-R 3 2"'
_cell_length_a 5.1425
_cell_length_b 5.1425
_cell_length_c 30.3424
_cell_angle_alpha 90.00
_cell_angle_beta 90.00
_cell_angle_gamma 120.00
loop_
_atom_site_label
_atom_site_type_symbol
_atom_site_fract_x
_atom_site_fract_y
_atom_site_fract_z
Sr1 Sr 0.0000 0.0000 0.1115
Sr2 Sr 0.0000 0.0000 0.2975
Cd1 Cd 0.0000 0.0000 0.5000
Pt1 Pt 0.0000 0.0000 0.4065
# calculated total energy = -3.419 eV per atom
# crystal system = trigonal
# magnetization = 0.000 μB per atom

***

Record 14
# TmCu2Pd9, relaxed, DFT PBE
data_TmCu2Pd9
_chemical_formula_sum 'Tm1 Cu2 Pd9'
_symmetry_space_group_name_H-M 'P 4/m m m'
_symmetry_Int_Tables_number 123
_symmetry_space_group_name_Hall '-P 4 2'
_cell_length_a 3.988
_cell_length_b 3.988
_cell_length_c 11.736
_cell_angle_alpha 90.00
_cell_angle_beta 90.00
_cell_angle_gamma 90.00
loop_
_atom_site_label
_atom_site_type_symbol
_atom_site_fract_x
_atom_site_fract_y
_atom_site_fract_z
Tm1 Tm 0.000 0.000 0.000
Cu1 Cu 0.000 0.000 0.342
Pd1 Pd 0.000 0.500 0.179
Pd2 Pd 0.000 0.500 0.500
Pd3 Pd 0.500 0.500 0.000
Pd4 Pd 0.500 0.500 0.340
# calculated total energy = -5.275 eV per atom
# crystal system = tetragonal
# magnetization = 0.000 μB per atom

***

Record 15
# GeAs2SBr, relaxed, DFT PBE
data_GeAs2SBr
_chemical_formula_sum 'Ge1 As2 S1 Br1'
_symmetry_space_group_name_H-M 'P 4/m m m'
_symmetry_Int_Tables_number 123
_symmetry_space_group_name_Hall '-P 4 2'
_cell_length_a 4.857
_cell_length_b 4.857
_cell_length_c 5.158
_cell_angle_alpha 90.00
_cell_angle_beta 90.00
_cell_angle_gamma 90.00
loop_
_atom_site_label
_atom_site_type_symbol
_atom_site_fract_x
_atom_site_fract_y
_atom_site_fract_z
Ge1 Ge 0.000 0.000 0.000
As1 As 0.000 0.500 0.500
S1 S 0.500 0.500 0.500
Br1 Br 0.500 0.500 0.000
# calculated total energy = -3.195 eV per atom
# raw formation energy = 748 meV/atom
# energy above the lowest structure with this stoichiometry = 0 meV per atom
# crystal system = tetragonal
# magnetization = 0.000 μB per atom

***

Record 16
# Nb4PtRh2, relaxed, DFT PBE
data_Nb4PtRh2
_chemical_formula_sum 'Nb16 Pt4 Rh8'
_symmetry_space_group_name_H-M 'I -4 2 d'
_symmetry_Int_Tables_number 122
_symmetry_space_group_name_Hall 'I -4 2bw'
_cell_length_a 8.053
_cell_length_b 8.053
_cell_length_c 7.707
_cell_angle_alpha 90.00
_cell_angle_beta 90.00
_cell_angle_gamma 90.00
loop_
_atom_site_label
_atom_site_type_symbol
_atom_site_fract_x
_atom_site_fract_y
_atom_site_fract_z
Nb1 Nb 0.074 0.682 0.442
Pt1 Pt 0.000 0.000 0.500
Rh1 Rh 0.109 0.750 0.125
# calculated total energy = -8.767 eV per atom
# crystal system = tetragonal
# magnetization = 0.000 μB per atom

***

Record 17
# TaCdTc2, relaxed, DFT PBE
data_TaCdTc2
_chemical_formula_sum 'Ta1 Cd1 Tc2'
_symmetry_space_group_name_H-M 'P 1 2/m 1'
_symmetry_Int_Tables_number 10
_cell_length_a 2.772
_cell_length_b 4.253
_cell_length_c 5.810
_cell_angle_alpha 90.00
_cell_angle_beta 101.63
_cell_angle_gamma 90.00
loop_
_symmetry_equiv_pos_as_xyz
'x,y,z'
'-x,-y,-z'
'-x,y,-z'
'x,-y,z'
loop_
_atom_site_label
_atom_site_type_symbol
_atom_site_fract_x
_atom_site_fract_y
_atom_site_fract_z
Ta1 Ta 0.000 0.000 0.000
Cd1 Cd 0.000 0.000 0.500
Tc1 Tc 0.418 0.500 0.244
# calculated total energy = -8.133 eV per atom
# crystal system = monoclinic
# magnetization = 0.000 μB per atom

***

Record 18
# Ac3Zn9Pd2, relaxed, DFT PBE
data_Ac3Zn9Pd2
_chemical_formula_sum 'Ac6 Zn18 Pd4'
_symmetry_space_group_name_H-M 'I m m m'
_symmetry_Int_Tables_number 71
_symmetry_space_group_name_Hall '-I 2 2'
_cell_length_a 4.503
_cell_length_b 9.566
_cell_length_c 13.570
_cell_angle_alpha 90.00
_cell_angle_beta 90.00
_cell_angle_gamma 90.00
loop_
_atom_site_label
_atom_site_type_symbol
_atom_site_fract_x
_atom_site_fract_y
_atom_site_fract_z
Ac1 Ac 0.000 0.000 0.000
Ac2 Ac 0.000 0.000 0.306
Zn1 Zn 0.000 0.285 0.123
Zn2 Zn 0.000 0.354 0.334
Zn3 Zn 0.000 0.500 0.000
Pd1 Pd 0.000 0.211 0.500
# calculated total energy = -2.841 eV per atom
# crystal system = orthorhombic
# magnetization = 0.000 μB per atom

***

Record 19
# Cs2ErBiSe4, relaxed, DFT PBE
data_Cs2ErBiSe4
_chemical_formula_sum 'Cs8 Er4 Bi4 Se16'
_symmetry_space_group_name_H-M 'I m m a'
_symmetry_Int_Tables_number 74
_symmetry_space_group_name_Hall '-I 2b 2'
_cell_length_a 8.950
_cell_length_b 9.311
_cell_length_c 12.914
_cell_angle_alpha 90.00
_cell_angle_beta 90.00
_cell_angle_gamma 90.00
loop_
_atom_site_label
_atom_site_type_symbol
_atom_site_fract_x
_atom_site_fract_y
_atom_site_fract_z
Cs1 Cs 0.000 0.000 0.000
Cs2 Cs 0.250 0.250 0.250
Er1 Er 0.250 0.250 0.750
Bi1 Bi 0.000 0.000 0.500
Se1 Se 0.000 0.046 0.734
Se2 Se 0.217 0.250 0.524
# calculated total energy = -4.185 eV per atom
# raw formation energy = -1174 meV/atom
# crystal system = orthorhombic
# magnetization = 0.000 μB per atom

***

Record 20
# LaMo2Se, relaxed, DFT PBE
data_LaMo2Se
_chemical_formula_sum 'La3 Mo6 Se3'
_symmetry_space_group_name_H-M 'R -3 m'
_symmetry_Int_Tables_number 166
_symmetry_space_group_name_Hall '-R 3 2"'
_cell_length_a 3.3429
_cell_length_b 3.3429
_cell_length_c 25.2115
_cell_angle_alpha 90.00
_cell_angle_beta 90.00
_cell_angle_gamma 120.00
loop_
_atom_site_label
_atom_site_type_symbol
_atom_site_fract_x
_atom_site_fract_y
_atom_site_fract_z
La1 La 0.0000 0.0000 0.0000
Mo1 Mo 0.0000 0.0000 0.2350
Se1 Se 0.0000 0.0000 0.5000
# calculated total energy = -6.972 eV per atom
# raw formation energy = 547 meV/atom
# crystal system = trigonal
# magnetization = 0.000 μB per atom